Record 1
Entry from OQMD via LeMat-Bulk: crystalline ThCoSn at its relaxed geometry (PBE-GGA).

## Properties
Energy in eV per atom: -6.3624
Total moment in μB per atom: 0.0056
SG: P-62m (189)

Geometry as extended XYZ:
```
9
Lattice="6.930 0.000 0.000 -3.465 6.002 0.000 0.000 0.000 4.749" Properties=species:S:1:pos:R:3 pbc="T T T"
Th -1.817 3.147 0.000
Th 1.648 2.855 0.000
Th 3.633 0.000 0.000
Co -0.765 1.326 2.375
Co 1.531 0.000 2.375
Co 2.699 4.676 2.375
Sn 0.000 0.000 0.000
Sn 0.000 4.001 2.375
Sn 3.465 2.001 2.375
```

Record 2
Entry from OQMD via LeMat-Bulk: crystalline DyScGa2Cu4 at its relaxed geometry (PBE-GGA).

## Properties
Energy in eV per atom: -4.3546
Total moment in μB per atom: 0.0001
SG: P-6m2 (187)

Geometry as extended XYZ:
```
8
Lattice="4.243 0.000 0.000 -2.122 3.675 0.000 0.000 0.000 8.265" Properties=species:S:1:pos:R:3 pbc="T T T"
Dy 0.000 0.000 0.000
Sc 2.122 1.225 4.133
Ga 0.000 2.450 2.300
Ga 0.000 2.450 5.965
Cu 0.000 0.000 2.829
Cu 0.000 0.000 5.436
Cu 2.122 1.225 1.430
Cu 2.122 1.225 6.836
```

Record 3
Entry from OQMD via LeMat-Bulk: crystalline HfZn at its relaxed geometry (PBE-GGA).

## Properties
Formation energy from the elements in eV/f.u.: 0.074
Total moment in μB per atom: 0.0013
SG: P-6m2 (187)

Geometry as extended XYZ:
```
2
Lattice="2.964 0.000 0.000 -1.482 2.567 0.000 0.000 0.000 4.919" Properties=species:S:1:pos:R:3 pbc="T T T"
Hf 0.000 0.000 0.000
Zn 1.482 0.856 2.460
```

Record 4
Entry from OQMD via LeMat-Bulk: crystalline LaZnAs at its relaxed geometry (PBE-GGA).

## Properties
Energy in eV per atom: -4.1098
Total moment in μB per atom: 0.0005
SG: F-43m (216)

Geometry as extended XYZ:
```
3
Lattice="0.000 3.413 3.413 3.413 0.000 3.413 3.413 3.413 0.000" Properties=species:S:1:pos:R:3 pbc="T T T"
La 0.000 0.000 0.000
Zn 3.413 3.413 3.413
As 1.707 1.707 1.707
```

Record 5
Entry from OQMD via LeMat-Bulk: crystalline AcHoPO at its relaxed geometry (PBE-GGA).

## Properties
Total moment in μB per atom: 0.0051
ΔE to the lowest computed polymorph in eV/atom: 0.0282
SG: P4/nmm (129)

Geometry as extended XYZ:
```
8
Lattice="4.487 0.000 0.000 0.000 4.487 0.000 0.000 0.000 9.265" Properties=species:S:1:pos:R:3 pbc="T T T"
Ac 1.122 1.122 1.131
Ac 3.365 3.365 8.133
Ho 1.122 3.365 4.632
Ho 3.365 1.122 4.632
P 1.122 1.122 6.233
P 3.365 3.365 3.032
O 1.122 3.365 0.000
O 3.365 1.122 0.000
```

Record 6
Entry from OQMD via LeMat-Bulk: crystalline Na2Sm2O5 at its relaxed geometry (PBE-GGA).

## Properties
Total moment in μB per atom: 0.2223
ΔE to the lowest computed polymorph in eV/atom: 0.3213
SG: P4/mmm (123)

Geometry as extended XYZ:
```
9
Lattice="4.082 0.000 0.000 0.000 4.082 0.000 0.000 0.000 6.733" Properties=species:S:1:pos:R:3 pbc="T T T"
Na 0.000 0.000 1.305
Na 0.000 0.000 5.428
Sm 2.041 2.041 0.000
Sm 2.041 2.041 3.366
O 0.000 0.000 3.366
O 0.000 2.041 1.473
O 0.000 2.041 5.260
O 2.041 0.000 1.473
O 2.041 0.000 5.260
```

Record 7
Entry from OQMD via LeMat-Bulk: crystalline Be2Ni at its relaxed geometry (PBE-GGA).

## Properties
Energy in eV per atom: -4.0711
Total moment in μB per atom: 0.0012
SG: P4_2/mnm (136)

Geometry as extended XYZ:
```
6
Lattice="5.339 0.000 0.000 0.000 5.339 0.000 0.000 0.000 2.314" Properties=species:S:1:pos:R:3 pbc="T T T"
Be 1.252 1.252 0.000
Be 1.417 3.922 1.157
Be 3.922 1.417 1.157
Be 4.087 4.087 0.000
Ni 0.000 0.000 1.157
Ni 2.670 2.670 0.000
```

Record 8
Entry from OQMD via LeMat-Bulk: crystalline NiBi at its relaxed geometry (PBE-GGA).

## Properties
Energy in eV per atom: -4.5642
Total moment in μB per atom: 0.0024
SG: P-6m2 (187)

Geometry as extended XYZ:
```
2
Lattice="3.645 0.000 0.000 -1.822 3.157 0.000 0.000 0.000 3.534" Properties=species:S:1:pos:R:3 pbc="T T T"
Ni 0.000 0.000 0.000
Bi 0.000 2.104 1.767
```

Record 9
Entry from OQMD via LeMat-Bulk: crystalline ZrAlNi at its relaxed geometry (PBE-GGA).

## Properties
Energy in eV per atom: -6.4332
Total moment in μB per atom: 0.0003
SG: P-62m (189)

Geometry as extended XYZ:
```
9
Lattice="6.389 0.000 0.000 -3.195 5.533 0.000 0.000 0.000 4.080" Properties=species:S:1:pos:R:3 pbc="T T T"
Zr -1.792 3.104 0.000
Zr 1.403 2.430 0.000
Zr 3.584 0.000 0.000
Al 0.000 0.000 0.000
Al 0.000 3.689 2.040
Al 3.195 1.844 2.040
Ni -0.752 1.302 2.040
Ni 1.503 0.000 2.040
Ni 2.443 4.232 2.040
```

Record 10
Entry from OQMD via LeMat-Bulk: crystalline ZnGa2Te2S2 at its relaxed geometry (PBE-GGA).

## Properties
ΔE to the lowest computed polymorph in eV/atom: 0.0000
SG: P1 (1)

Geometry as extended XYZ:
```
7
Lattice="5.631 0.000 0.000 -0.016 5.764 0.000 -2.746 -2.660 5.627" Properties=species:S:1:pos:R:3 pbc="T T T"
Zn 0.000 0.000 0.000
Ga 0.215 3.164 2.787
Ga 0.070 0.556 5.580
Te -1.439 -0.979 4.037
Te 4.123 1.582 1.546
S 1.481 4.525 1.364
S 1.483 1.794 4.201
```

Record 11
Entry from OQMD via LeMat-Bulk: crystalline Er4C7 at its relaxed geometry (PBE-GGA).

## Properties
Energy in eV per atom: -7.7825
Total moment in μB per atom: 0.0000
SG: P-1 (2)

Geometry as extended XYZ:
```
11
Lattice="3.553 0.000 0.000 0.036 3.587 0.000 1.271 1.159 11.266" Properties=species:S:1:pos:R:3 pbc="T T T"
Er 0.511 1.354 4.048
Er 2.546 1.591 9.713
Er 2.314 3.154 1.553
Er 4.349 3.391 7.218
C 0.018 1.793 0.000
C 0.601 1.241 1.086
C 2.239 2.859 5.169
C 2.524 1.600 7.476
C 2.336 3.145 3.790
C 2.621 1.886 6.096
C 4.259 3.504 10.180
```

Record 12
Entry from OQMD via LeMat-Bulk: crystalline Pr2NdB2Pd2N3 at its relaxed geometry (PBE-GGA).

## Properties
Energy in eV per atom: -7.3624
Total moment in μB per atom: 0.0011
SG: I4/mmm (139)

Geometry as extended XYZ:
```
10
Lattice="-1.884 1.884 10.399 1.884 -1.884 10.399 1.884 1.884 -10.399" Properties=species:S:1:pos:R:3 pbc="T T T"
Pr 0.000 0.000 2.512
Pr 0.000 0.000 18.286
Nd 0.000 0.000 10.399
B 0.000 0.000 6.508
B 0.000 0.000 14.291
Pd 1.884 0.000 5.200
Pd 0.000 1.884 5.200
N 0.000 0.000 0.000
N 0.000 0.000 7.926
N 0.000 0.000 12.872
```

Record 13
Entry from OQMD via LeMat-Bulk: crystalline LaTe2Pd2 at its relaxed geometry (PBE-GGA).

## Properties
Energy in eV per atom: -5.1369
Total moment in μB per atom: 0.0001
SG: I4/mmm (139)

Geometry as extended XYZ:
```
5
Lattice="-2.165 2.165 6.368 2.165 -2.165 6.368 2.165 2.165 -6.368" Properties=species:S:1:pos:R:3 pbc="T T T"
La 0.000 0.000 0.000
Te 0.000 0.000 4.797
Te 0.000 0.000 7.940
Pd 2.165 0.000 3.184
Pd 0.000 2.165 3.184
```

Record 14
Entry from OQMD via LeMat-Bulk: crystalline TaAlTl at its relaxed geometry (PBE-GGA).

## Properties
Total moment in μB per atom: 0.4385
ΔE to the lowest computed polymorph in eV/atom: 0.3135
SG: F-43m (216)

Geometry as extended XYZ:
```
3
Lattice="0.000 3.241 3.241 3.241 0.000 3.241 3.241 3.241 0.000" Properties=species:S:1:pos:R:3 pbc="T T T"
Ta 0.000 0.000 0.000
Al 3.241 3.241 3.241
Tl 4.861 4.861 4.861
```

Record 15
Entry from OQMD via LeMat-Bulk: crystalline PrNi2GeP at its relaxed geometry (PBE-GGA).

## Properties
Total moment in μB per atom: 0.0005
ΔE to the lowest computed polymorph in eV/atom: 0.0000
SG: P4/nmm (129)

Geometry as extended XYZ:
```
10
Lattice="4.055 0.000 0.000 0.000 4.055 0.000 0.000 0.000 9.709" Properties=species:S:1:pos:R:3 pbc="T T T"
Pr 1.014 1.014 2.327
Pr 3.041 3.041 7.382
Ni 1.014 1.014 6.195
Ni 1.014 3.041 0.000
Ni 3.041 1.014 0.000
Ni 3.041 3.041 3.514
Ge 1.014 3.041 4.855
Ge 3.041 1.014 4.855
P 1.014 1.014 8.492
P 3.041 3.041 1.217
```

Record 16
Entry from OQMD via LeMat-Bulk: crystalline LuMgFeSb at its relaxed geometry (PBE-GGA).

## Properties
Total moment in μB per atom: 0.0011
ΔE to the lowest computed polymorph in eV/atom: 0.0115
SG: F-43m (216)

Geometry as extended XYZ:
```
4
Lattice="0.000 3.294 3.294 3.294 0.000 3.294 3.294 3.294 0.000" Properties=species:S:1:pos:R:3 pbc="T T T"
Lu 0.000 0.000 0.000
Mg 4.941 4.941 4.941
Fe 1.647 1.647 1.647
Sb 3.294 3.294 3.294
```

Record 17
Entry from OQMD via LeMat-Bulk: crystalline ErScAg4 at its relaxed geometry (PBE-GGA).

## Properties
Formation energy from the elements in eV/f.u.: -1.911
Total moment in μB per atom: 0.0006
SG: P4/mmm (123)

Geometry as extended XYZ:
```
6
Lattice="3.624 0.000 0.000 0.000 3.624 0.000 0.000 0.000 9.068" Properties=species:S:1:pos:R:3 pbc="T T T"
Er 0.000 0.000 0.000
Sc 1.812 1.812 4.534
Ag 0.000 0.000 3.074
Ag 0.000 0.000 5.994
Ag 1.812 1.812 1.587
Ag 1.812 1.812 7.481
```

Record 18
Entry from OQMD via LeMat-Bulk: crystalline TmGeAuSe3 at its relaxed geometry (PBE-GGA).

## Properties
Total moment in μB per atom: 0.0006
ΔE to the lowest computed polymorph in eV/atom: 0.1011
SG: Cmcm (63)

Geometry as extended XYZ:
```
12
Lattice="1.968 -6.965 0.000 1.968 6.965 0.000 0.000 0.000 10.641" Properties=species:S:1:pos:R:3 pbc="T T T"
Tm 0.000 0.000 0.000
Tm 0.000 0.000 5.320
Ge 1.968 4.367 7.980
Ge 1.968 -4.367 2.660
Au 1.968 0.481 2.660
Au 1.968 -0.481 7.980
Se 1.968 5.692 2.660
Se 1.968 2.033 0.541
Se 1.968 2.033 4.780
Se 1.968 -2.033 5.861
Se 1.968 -2.033 10.100
Se 1.968 -5.692 7.980
```

Record 19
Entry from OQMD via LeMat-Bulk: crystalline Tl2Mo4CN at its relaxed geometry (PBE-GGA).

## Properties
Energy in eV per atom: -8.0379
Total moment in μB per atom: 0.0025
SG: P-3m1 (164)

Geometry as extended XYZ:
```
8
Lattice="3.217 0.000 0.000 -1.609 2.786 0.000 0.000 0.000 13.750" Properties=species:S:1:pos:R:3 pbc="T T T"
Tl 0.000 1.857 3.406
Tl 1.609 0.929 10.345
Mo 0.000 1.857 7.949
Mo 0.000 1.857 12.745
Mo 1.609 0.929 1.005
Mo 1.609 0.929 5.801
C 0.000 0.000 6.875
N 0.000 0.000 0.000
```

Record 20
Entry from OQMD via LeMat-Bulk: crystalline NaHfAgTe3 at its relaxed geometry (PBE-GGA).

## Properties
Total moment in μB per atom: 0.0013
ΔE to the lowest computed polymorph in eV/atom: 0.0999
SG: C2/m (12)

Geometry as extended XYZ:
```
12
Lattice="9.322 -2.037 0.000 9.322 2.037 0.000 -1.780 0.000 9.000" Properties=species:S:1:pos:R:3 pbc="T T T"
Na 2.207 0.000 0.597
Na 14.657 0.000 8.402
Hf 2.014 0.000 5.311
Hf 14.850 0.000 3.689
Ag 8.021 0.000 2.471
Ag 8.842 0.000 6.528
Te -0.890 0.000 4.500
Te 5.385 0.000 1.634
Te 4.980 0.000 5.669
Te 9.322 0.000 0.000
Te 11.884 0.000 3.331
Te 11.478 0.000 7.365
```